[1]
Crystalline Ba3MgW at its relaxed geometry. Source: Alexandria via LeMat-Bulk, functional PBE.

Output
polymorph energy (0 for the lowest one): 0.000 eV per atom
theoretical density: 4.54 g/cm3
VASP energy: -3.188 eV/atom
space group: No. 221
DOS(E_F): 4.6 states/eV/f.u.
ΔE_f: 0.875 eV per atom

extended XYZ file:
```
5
Lattice="6.097 0.000 0.000 0.000 6.097 0.000 0.000 0.000 6.097" Properties=species:S:1:pos:R:3 pbc="T T T"
Ba 0.000 0.000 3.049
Ba 0.000 3.049 0.000
Ba 3.049 0.000 0.000
Mg 3.049 3.049 3.049
W 0.000 0.000 0.000
```

---

[2]
Crystalline BaMgW at its relaxed geometry. Source: Alexandria via LeMat-Bulk, functional PBE.

Output
polymorph energy (0 for the lowest one): 0.579 eV per atom
theoretical density: 6.09 g/cm3
VASP energy: -3.970 eV/atom
space group: No. 216
DOS(E_F): 2.3 states/eV/f.u.
ΔE_f: 1.520 eV per atom

extended XYZ file:
```
3
Lattice="0.000 3.611 3.611 3.611 0.000 3.611 3.611 3.611 0.000" Properties=species:S:1:pos:R:3 pbc="T T T"
Ba 0.000 0.000 0.000
Mg 3.611 3.611 3.611
W 5.416 5.416 5.416
```

---

[3]
Crystalline BaMg3W at its relaxed geometry. Source: Alexandria via LeMat-Bulk, functional PBE.

Output
polymorph energy (0 for the lowest one): 0.000 eV per atom
theoretical density: 4.20 g/cm3
VASP energy: -3.198 eV/atom
space group: No. 221
DOS(E_F): 5.5 states/eV/f.u.
ΔE_f: 0.734 eV per atom

extended XYZ file:
```
5
Lattice="5.381 0.000 0.000 0.000 5.381 0.000 0.000 0.000 5.381" Properties=species:S:1:pos:R:3 pbc="T T T"
Ba 0.000 0.000 0.000
Mg 0.000 2.690 2.690
Mg 2.690 0.000 2.690
Mg 2.690 2.690 0.000
W 2.690 2.690 2.690
```

---

[4]
Crystalline Ba3YMg at its relaxed geometry. Source: Alexandria via LeMat-Bulk, functional PBE.

Output
polymorph energy (0 for the lowest one): 0.000 eV per atom
theoretical density: 3.07 g/cm3
VASP energy: -2.242 eV/atom
space group: No. 221
DOS(E_F): 10.0 states/eV/f.u.
ΔE_f: 0.523 eV per atom

extended XYZ file:
```
5
Lattice="6.575 0.000 0.000 0.000 6.575 0.000 0.000 0.000 6.575" Properties=species:S:1:pos:R:3 pbc="T T T"
Ba 0.000 0.000 3.287
Ba 0.000 3.287 0.000
Ba 3.287 0.000 0.000
Y 3.287 3.287 3.287
Mg 0.000 0.000 0.000
```

---

[5]
Crystalline BaY3Mg at its relaxed geometry. Source: Alexandria via LeMat-Bulk, functional PBE.

Output
theoretical density: 3.62 g/cm3
VASP energy: -4.150 eV/atom
space group: No. 221
DOS(E_F): 6.7 states/eV/f.u.
ΔE_f: 0.432 eV per atom

extended XYZ file:
```
5
Lattice="5.815 0.000 0.000 0.000 5.815 0.000 0.000 0.000 5.815" Properties=species:S:1:pos:R:3 pbc="T T T"
Ba 0.000 0.000 0.000
Y 0.000 2.907 2.907
Y 2.907 0.000 2.907
Y 2.907 2.907 0.000
Mg 2.907 2.907 2.907
```

---

[6]
Crystalline BaYMg2 at its relaxed geometry. Source: Alexandria via LeMat-Bulk, functional PBE.

Output
polymorph energy (0 for the lowest one): 0.229 eV per atom
theoretical density: 3.38 g/cm3
VASP energy: -2.706 eV/atom
space group: No. 160
DOS(E_F): 5.0 states/eV/f.u.
ΔE_f: 0.188 eV per atom

extended XYZ file:
```
4
Lattice="1.857 1.072 11.293 -1.857 1.072 11.293 0.000 -2.144 11.293" Properties=species:S:1:pos:R:3 pbc="T T T"
Ba 0.000 0.000 0.000
Y 0.000 0.000 25.975
Mg 0.000 0.000 8.272
Mg 0.000 0.000 17.243
```